[1]
CrPRu3: relaxed, PBE-GGA.

Cell and atoms, written as CIF:
```
data_CrPRu3
_symmetry_space_group_name_H-M 'P 1'
_symmetry_Int_Tables_number 1
_cell_length_a 4.4009
_cell_length_b 4.4009
_cell_length_c 4.4009
_cell_angle_alpha 90.00
_cell_angle_beta 90.00
_cell_angle_gamma 90.00
loop_
_symmetry_equiv_pos_as_xyz
'x,y,z'
loop_
_atom_site_label
_atom_site_type_symbol
_atom_site_fract_x
_atom_site_fract_y
_atom_site_fract_z
Ru1 Ru 0.5000 0.0000 0.0000
Ru2 Ru 0.0000 0.0000 0.5000
Ru3 Ru 0.0000 0.5000 0.0000
Cr1 Cr 0.0000 0.0000 0.0000
P1 P 0.5000 0.5000 0.5000
```

The energy relative to the elements comes out at 1.434 eV per atom. The space-group type is No. 221. The calculation puts the energy above the most stable polymorph in this dataset at 0.691 eV/atom. As for the crystal system: cubic. The calculation puts the total moment at 0.0 μB/f.u. The calculated density is 7.523 g/cm³. The value obtained for the final energy is -35.7 eV for the cell shown.

[2]
TmCdSnPt: relaxed, PBE-GGA.

Cell and atoms, written as CIF:
```
data_TmCdSnPt
_symmetry_space_group_name_H-M 'P 1'
_symmetry_Int_Tables_number 1
_cell_length_a 4.9293
_cell_length_b 4.9293
_cell_length_c 4.9293
_cell_angle_alpha 60.00
_cell_angle_beta 60.00
_cell_angle_gamma 60.00
loop_
_symmetry_equiv_pos_as_xyz
'x,y,z'
loop_
_atom_site_label
_atom_site_type_symbol
_atom_site_fract_x
_atom_site_fract_y
_atom_site_fract_z
Tm1 Tm 0.0000 0.0000 0.0000
Pt1 Pt 0.7500 0.7500 0.7500
Cd1 Cd 0.2500 0.2500 0.2500
Sn1 Sn 0.5000 0.5000 0.5000
```

The energy relative to the elements comes out at -0.568 eV per atom. The space-group type is No. 216. As for the crystal system: cubic. The calculation puts the total moment at 0.0 μB/f.u. The calculated density is 11.669 g/cm³. The value obtained for the final energy is -17.7 eV for the cell shown.

[3]
Y2Er2Th5: relaxed, PBE-GGA.

Cell and atoms, written as CIF:
```
data_Y2Er2Th5
_symmetry_space_group_name_H-M 'P 1'
_symmetry_Int_Tables_number 1
_cell_length_a 6.1648
_cell_length_b 6.1579
_cell_length_c 9.4136
_cell_angle_alpha 71.24
_cell_angle_beta 89.97
_cell_angle_gamma 60.06
loop_
_symmetry_equiv_pos_as_xyz
'x,y,z'
loop_
_atom_site_label
_atom_site_type_symbol
_atom_site_fract_x
_atom_site_fract_y
_atom_site_fract_z
Y1 Y 0.7779 0.1123 0.3325
Y2 Y 0.2221 0.8877 0.6675
Th1 Th 0.1089 0.4464 0.3334
Th2 Th 0.8911 0.5536 0.6666
Th3 Th 0.0000 0.0000 0.0000
Th4 Th 0.5538 0.2232 0.6655
Th5 Th 0.4462 0.7768 0.3345
Er1 Er 0.6664 0.6682 0.0001
Er2 Er 0.3336 0.3318 0.9999
```

The energy relative to the elements comes out at 0.050 eV per atom. The space-group type is No. 2. As for the crystal system: triclinic. The calculation puts the total moment at 0.0 μB/f.u. The calculated density is 9.657 g/cm³. The value obtained for the final energy is -58.7 eV for the cell shown.